Record 1
KBa2Sr: PBEsol geometry, meta-GGA SCAN.

Cell and atoms, written as POSCAR:
```
KBa2Sr
1.0
4.373 0.000 0.000
0.000 6.099 0.000
0.000 0.000 8.938
K Ba Sr
1 2 1
Direct
0.000 0.000 0.000
0.000 0.000 0.491
0.500 0.500 0.739
0.500 0.500 0.256
```

Space-group type: Pmm2 (25)
ΔE_f in eV per formula unit: 0.36



Record 2
YZrZn: PBEsol geometry, meta-GGA SCAN.

Cell and atoms, written as POSCAR:
```
YZrZn
1.0
-1.664 1.664 5.894
1.664 -1.664 5.894
1.664 1.664 -5.894
Y Zr Zn
1 1 1
Direct
0.000 0.000 0.000
0.692 0.692 0.000
0.331 0.331 0.000
```

Space-group type: I4mm (107)
ΔE_f in eV per formula unit: -0.60



Record 3
KBa3: PBEsol geometry, meta-GGA SCAN.

Cell and atoms, written as POSCAR:
```
KBa3
1.0
2.415 -3.508 0.000
2.415 3.508 0.000
0.000 0.000 14.409
K Ba
1 3
Direct
0.000 0.000 0.000
0.000 0.000 0.500
0.500 0.500 0.260
0.500 0.500 0.740
```

Space-group type: Cmmm (65)
ΔE_f in eV per formula unit: 0.19



Record 4
LaCoAg2: PBEsol geometry, meta-GGA SCAN.

Cell and atoms, written as POSCAR:
```
LaCoAg2
1.0
3.344 0.000 0.000
0.000 3.344 0.000
0.000 0.000 6.742
La Co Ag
1 1 2
Direct
0.000 0.000 0.000
0.500 0.500 0.252
0.000 0.000 0.452
0.500 0.500 0.664
```

Space-group type: P4mm (99)
ΔE_f in eV per formula unit: 0.31



Record 5
Tl2ReRu: PBEsol geometry, meta-GGA SCAN.

Cell and atoms, written as POSCAR:
```
Tl2ReRu
1.0
4.488 -1.500 0.000
4.488 1.500 0.000
-1.001 0.000 5.238
Tl Re Ru
2 1 1
Direct
0.248 0.248 0.246
0.752 0.752 0.754
0.000 0.000 0.500
0.500 0.500 0.000
```

Space-group type: C2/m (12)
ΔE_f in eV per formula unit: 4.12



Record 6
Pr5Si3N9: PBEsol geometry, meta-GGA SCAN.

Cell and atoms, written as POSCAR:
```
Pr5Si3N9
1.0
5.261 -5.626 0.000
5.261 5.626 0.000
0.000 0.000 15.864
Pr Si N
20 12 36
Direct
0.008 0.992 0.888
0.012 0.988 0.334
0.033 0.547 0.131
0.047 0.533 0.631
0.204 0.204 0.500
0.296 0.296 0.000
0.453 0.967 0.131
0.467 0.953 0.631
0.488 0.512 0.834
0.492 0.508 0.388
0.508 0.492 0.612
0.512 0.488 0.166
0.533 0.047 0.369
0.547 0.033 0.869
0.704 0.704 0.000
0.796 0.796 0.500
0.953 0.467 0.369
0.967 0.453 0.869
0.988 0.012 0.666
0.992 0.008 0.112
0.215 0.285 0.250
0.228 0.772 0.774
0.240 0.760 0.984
0.260 0.740 0.484
0.272 0.728 0.274
0.285 0.215 0.750
0.715 0.785 0.250
0.728 0.272 0.726
0.740 0.260 0.516
0.760 0.240 0.016
0.772 0.228 0.226
0.785 0.715 0.750
0.008 0.741 0.759
0.014 0.721 0.999
0.135 0.865 0.550
0.157 0.843 0.204
0.201 0.273 0.653
0.221 0.514 0.499
0.223 0.777 0.377
0.227 0.299 0.847
0.241 0.508 0.259
0.259 0.992 0.759
0.273 0.201 0.347
0.277 0.723 0.877
0.279 0.986 0.999
0.299 0.227 0.153
0.343 0.657 0.704
0.365 0.635 0.050
0.486 0.779 0.499
0.492 0.759 0.259
0.508 0.241 0.741
0.514 0.221 0.501
0.635 0.365 0.950
0.657 0.343 0.296
0.701 0.773 0.847
0.721 0.014 0.001
0.723 0.277 0.123
0.727 0.799 0.653
0.741 0.008 0.241
0.759 0.492 0.741
0.773 0.701 0.153
0.777 0.223 0.623
0.779 0.486 0.501
0.799 0.727 0.347
0.843 0.157 0.796
0.865 0.135 0.450
0.986 0.279 0.001
0.992 0.259 0.241
```

Space-group type: Cmce (64)
Formation energy (no corrections) in eV per atom: -1.56



Record 7
NiSbPb2F: PBEsol geometry, meta-GGA SCAN.

Cell and atoms, written as POSCAR:
```
NiSbPb2F
1.0
5.854 0.000 0.000
0.000 5.854 0.000
0.000 0.000 4.539
Ni Sb Pb F
1 1 2 1
Direct
0.000 0.000 0.000
0.000 0.000 0.500
0.000 0.500 0.500
0.500 0.000 0.500
0.500 0.500 0.000
```

Space-group type: P4/mmm (123)
Formation energy (no corrections) in eV per atom: 0.26



Record 8
Be2NiW: PBEsol geometry, meta-GGA SCAN.

Cell and atoms, written as POSCAR:
```
Be2NiW
1.0
4.035 0.000 0.000
0.000 4.035 0.000
0.000 0.000 2.596
Be Ni W
2 1 1
Direct
0.000 0.500 0.000
0.500 0.000 0.000
0.000 0.000 0.500
0.500 0.500 0.500
```

Space-group type: P4/mmm (123)
ΔE_f in eV per formula unit: 0.13



no.,M_tot (μB/atom),ρ (g cm⁻³)
1,0.043,2.80
2,0.000,6.25
3,0.000,3.07
4,0.288,9.11
5,0.000,16.39
6,0.000,6.47
7,0.000,6.55
8,0.000,10.24